[1]
Here is Te3Au2Br2 after structural relaxation from Alexandria. Energies are from PBE. Values from VASP.

```
&SYSTEM
  ibrav = 0, nat = 7, ntyp = 3
/
ATOMIC_SPECIES
Te 127.60 Te.upf
Au 196.97 Au.upf
Br 79.90 Br.upf
ATOMIC_POSITIONS crystal
Te 0.000 0.000 0.000
Te 0.295 0.562 0.681
Te 0.705 0.438 0.319
Au 0.165 0.308 0.330
Au 0.835 0.692 0.670
Br 0.338 0.802 0.133
Br 0.662 0.198 0.867
CELL_PARAMETERS angstrom
5.074 0.000 0.000
-1.626 6.929 0.000
-0.645 -2.093 7.160
```

Values from the calculation:
formation energy without anion corrections	-0.03	eV per atom
magnetization	0.00	μB/f.u.
uncorrected energy	-2.7929	eV per atom

[2]
Here is CsHf2CoTe after structural relaxation from Alexandria. Energies are from PBE. Values from VASP.

```
&SYSTEM
  ibrav = 0, nat = 5, ntyp = 4
/
ATOMIC_SPECIES
Cs 132.91 Cs.upf
Hf 178.49 Hf.upf
Co 58.93 Co.upf
Te 127.60 Te.upf
ATOMIC_POSITIONS crystal
Cs 0.000 0.000 0.000
Hf 0.000 0.500 0.500
Hf 0.500 0.000 0.500
Co 0.000 0.000 0.500
Te 0.500 0.500 0.000
CELL_PARAMETERS angstrom
4.935 0.000 0.000
0.000 4.935 0.000
0.000 0.000 5.598
```

Values from the calculation:
formation energy without anion corrections	0.58	eV per atom
magnetization	0.00	μB/f.u.
uncorrected energy	-5.6227	eV per atom

[3]
Here is GdDyCoSn after structural relaxation from Alexandria. Energies are from PBE. Values from VASP.

```
&SYSTEM
  ibrav = 0, nat = 4, ntyp = 4
/
ATOMIC_SPECIES
Gd 157.25 Gd.upf
Dy 162.50 Dy.upf
Co 58.93 Co.upf
Sn 118.71 Sn.upf
ATOMIC_POSITIONS crystal
Gd 0.000 0.000 0.000
Dy 0.500 0.500 0.500
Co 0.250 0.250 0.250
Sn 0.750 0.750 0.750
CELL_PARAMETERS angstrom
0.000 3.611 3.611
3.611 0.000 3.611
3.611 3.611 0.000
```

Values from the calculation:
magnetization	8.01	μB/f.u.
uncorrected energy	-7.7426	eV per atom
E_form	-0.295	eV per atom

[4]
Here is Tb3Ge5S12 after structural relaxation from Alexandria. Energies are from PBE. Values from VASP.

```
&SYSTEM
  ibrav = 0, nat = 80, ntyp = 3
/
ATOMIC_SPECIES
Tb 158.93 Tb.upf
Ge 72.64 Ge.upf
S 32.06 S.upf
ATOMIC_POSITIONS crystal
Tb 0.125 0.250 0.375
Tb 0.125 0.375 0.750
Tb 0.250 0.375 0.125
Tb 0.250 0.875 0.625
Tb 0.375 0.125 0.250
Tb 0.375 0.750 0.125
Tb 0.625 0.250 0.875
Tb 0.625 0.875 0.750
Tb 0.750 0.125 0.375
Tb 0.750 0.625 0.875
Tb 0.875 0.625 0.250
Tb 0.875 0.750 0.625
Ge 0.000 0.000 0.000
Ge 0.000 0.000 0.500
Ge 0.000 0.500 0.000
Ge 0.000 0.500 0.500
Ge 0.125 0.750 0.875
Ge 0.125 0.875 0.250
Ge 0.250 0.125 0.875
Ge 0.250 0.625 0.375
Ge 0.375 0.250 0.625
Ge 0.375 0.625 0.750
Ge 0.500 0.000 0.000
Ge 0.500 0.000 0.500
Ge 0.500 0.500 0.000
Ge 0.500 0.500 0.500
Ge 0.625 0.375 0.250
Ge 0.625 0.750 0.375
Ge 0.750 0.375 0.625
Ge 0.750 0.875 0.125
Ge 0.875 0.125 0.750
Ge 0.875 0.250 0.125
S 0.035 0.219 0.130
S 0.035 0.316 0.905
S 0.089 0.719 0.684
S 0.089 0.870 0.405
S 0.095 0.630 0.411
S 0.095 0.965 0.684
S 0.130 0.035 0.219
S 0.130 0.595 0.911
S 0.184 0.219 0.589
S 0.184 0.465 0.595
S 0.219 0.130 0.035
S 0.219 0.589 0.184
S 0.281 0.316 0.911
S 0.281 0.465 0.370
S 0.316 0.905 0.035
S 0.316 0.911 0.281
S 0.370 0.281 0.465
S 0.370 0.589 0.905
S 0.405 0.089 0.870
S 0.405 0.816 0.535
S 0.411 0.095 0.630
S 0.411 0.816 0.781
S 0.465 0.370 0.281
S 0.465 0.595 0.184
S 0.535 0.405 0.816
S 0.535 0.630 0.719
S 0.589 0.184 0.219
S 0.589 0.905 0.370
S 0.595 0.184 0.465
S 0.595 0.911 0.130
S 0.630 0.411 0.095
S 0.630 0.719 0.535
S 0.684 0.089 0.719
S 0.684 0.095 0.965
S 0.719 0.535 0.630
S 0.719 0.684 0.089
S 0.781 0.411 0.816
S 0.781 0.870 0.965
S 0.816 0.535 0.405
S 0.816 0.781 0.411
S 0.870 0.405 0.089
S 0.870 0.965 0.781
S 0.905 0.035 0.316
S 0.905 0.370 0.589
S 0.911 0.130 0.595
S 0.911 0.281 0.316
S 0.965 0.684 0.095
S 0.965 0.781 0.870
CELL_PARAMETERS angstrom
-7.667 7.667 7.667
7.667 -7.667 7.667
7.667 7.667 -7.667
```

Values from the calculation:
formation energy without anion corrections	-0.89	eV per atom
magnetization	0.00	μB/f.u.
uncorrected energy	-5.2186	eV per atom

[5]
Here is NaCd2Ga after structural relaxation from Alexandria. Energies are from PBE. Values from VASP.

```
&SYSTEM
  ibrav = 0, nat = 4, ntyp = 3
/
ATOMIC_SPECIES
Na 22.99 Na.upf
Cd 112.41 Cd.upf
Ga 69.72 Ga.upf
ATOMIC_POSITIONS crystal
Na 0.000 0.000 0.000
Cd 0.092 0.092 0.092
Cd 0.908 0.908 0.908
Ga 0.500 0.500 0.500
CELL_PARAMETERS angstrom
1.559 0.900 11.187
-1.559 0.900 11.187
0.000 -1.800 11.187
```

Values from the calculation:
magnetization	0.00	μB/f.u.
uncorrected energy	-1.4680	eV per atom
E_form	0.076	eV per atom

[6]
Here is Sm3Er3Cd after structural relaxation from Alexandria. Energies are from PBE. Values from VASP.

```
&SYSTEM
  ibrav = 0, nat = 14, ntyp = 3
/
ATOMIC_SPECIES
Sm 150.36 Sm.upf
Er 167.26 Er.upf
Cd 112.41 Cd.upf
ATOMIC_POSITIONS crystal
Sm 0.025 0.250 0.131
Sm 0.131 0.750 0.607
Sm 0.394 0.750 0.025
Sm 0.606 0.250 0.975
Sm 0.869 0.250 0.393
Sm 0.975 0.750 0.869
Er 0.263 0.750 0.322
Er 0.321 0.250 0.559
Er 0.442 0.250 0.263
Er 0.558 0.750 0.737
Er 0.679 0.750 0.441
Er 0.737 0.250 0.678
Cd 0.167 0.250 0.834
Cd 0.833 0.750 0.166
CELL_PARAMETERS angstrom
9.442 0.000 0.000
0.000 5.534 0.000
-4.720 0.000 8.183
```

Values from the calculation:
magnetization	0.01	μB/f.u.
uncorrected energy	-4.1471	eV per atom
E_form	-0.038	eV per atom

[7]
Here is TbY2I5 after structural relaxation from Alexandria. Energies are from PBE. Values from VASP.

```
&SYSTEM
  ibrav = 0, nat = 32, ntyp = 3
/
ATOMIC_SPECIES
Tb 158.93 Tb.upf
Y 88.91 Y.upf
I 126.90 I.upf
ATOMIC_POSITIONS crystal
Tb 0.209 0.196 0.000
Tb 0.291 0.696 0.500
Tb 0.709 0.304 0.500
Tb 0.791 0.804 0.000
Y 0.000 0.500 0.214
Y 0.000 0.500 0.786
Y 0.097 0.099 0.500
Y 0.403 0.599 0.000
Y 0.500 0.000 0.286
Y 0.500 0.000 0.714
Y 0.597 0.401 0.000
Y 0.903 0.901 0.500
I 0.064 0.277 0.251
I 0.064 0.277 0.749
I 0.141 0.874 0.500
I 0.165 0.514 0.500
I 0.168 0.600 0.000
I 0.332 0.100 0.500
I 0.335 0.014 0.000
I 0.359 0.374 0.000
I 0.436 0.777 0.249
I 0.436 0.777 0.751
I 0.564 0.223 0.249
I 0.564 0.223 0.751
I 0.641 0.626 0.000
I 0.665 0.986 0.000
I 0.668 0.900 0.500
I 0.832 0.400 0.000
I 0.835 0.486 0.500
I 0.859 0.126 0.500
I 0.936 0.723 0.251
I 0.936 0.723 0.749
CELL_PARAMETERS angstrom
13.459 0.000 0.000
0.000 13.559 0.000
0.000 0.000 7.867
```

Values from the calculation:
formation energy without anion corrections	-0.80	eV per atom
magnetization	2.78	μB/f.u.
uncorrected energy	-3.9676	eV per atom

[8]
Here is KTl2Pb2 after structural relaxation from Alexandria. Energies are from PBE. Values from VASP.

```
&SYSTEM
  ibrav = 0, nat = 10, ntyp = 3
/
ATOMIC_SPECIES
K 39.10 K.upf
Tl 204.38 Tl.upf
Pb 207.20 Pb.upf
ATOMIC_POSITIONS crystal
K 0.248 0.250 0.248
K 0.752 0.750 0.752
Tl 0.250 0.750 0.000
Tl 0.251 0.250 0.645
Tl 0.749 0.750 0.355
Tl 0.750 0.250 0.000
Pb 0.250 0.750 0.500
Pb 0.251 0.250 0.863
Pb 0.749 0.750 0.137
Pb 0.750 0.250 0.500
CELL_PARAMETERS angstrom
4.921 0.000 0.000
0.000 4.943 0.000
-0.004 0.000 14.914
```

Values from the calculation:
magnetization	0.00	μB/f.u.
uncorrected energy	-2.7007	eV per atom
ΔE to the lowest computed polymorph	0.103	eV/f.u.
E_form	-0.051	eV per atom